No. 1
# Sm2HoAl2, optimized geometry, DFT GGA-PBE
data_Sm2HoAl2
_chemical_formula_sum 'Sm4 Ho2 Al4'
_symmetry_space_group_name_H-M 'P 1 21/m 1'
_symmetry_Int_Tables_number 11
_cell_length_a 6.2315
_cell_length_b 3.6255
_cell_length_c 12.6803
_cell_angle_alpha 90.00
_cell_angle_beta 96.50
_cell_angle_gamma 90.00
loop_
_symmetry_equiv_pos_as_xyz
'x,y,z'
'-x,-y,-z'
'-x,y+1/2,-z'
'x,-y+1/2,z'
loop_
_atom_site_label
_atom_site_fract_x
_atom_site_fract_y
_atom_site_fract_z
Sm1 0.0665 0.2500 0.3567
Sm2 0.2249 0.7500 0.9270
Ho1 0.4637 0.2500 0.7103
Al1 0.2863 0.2500 0.1270
Al2 0.3431 0.7500 0.5155
# * calculated volume: 28.464 Å³ per atom
# * E_form: -15 kJ per mole of atoms
# * energy: -44.53 eV for the cell shown

No. 2
# ZnHgMo2, optimized geometry, DFT GGA-PBE
data_ZnHgMo2
_chemical_formula_sum 'Zn1 Hg1 Mo2'
_symmetry_space_group_name_H-M 'P 4 m m'
_symmetry_Int_Tables_number 99
_cell_length_a 2.7436
_cell_length_b 2.7436
_cell_length_c 9.0567
_cell_angle_alpha 90.00
_cell_angle_beta 90.00
_cell_angle_gamma 90.00
loop_
_symmetry_equiv_pos_as_xyz
'x,y,z'
'-y,x,z'
'-x,-y,z'
'y,-x,z'
'-x,y,z'
'y,x,z'
'x,-y,z'
'-y,-x,z'
loop_
_atom_site_label
_atom_site_fract_x
_atom_site_fract_y
_atom_site_fract_z
Zn1 0.0000 0.0000 0.0000
Hg1 0.5000 0.5000 0.2661
Mo1 0.0000 0.0000 0.5289
Mo2 0.5000 0.5000 0.7783
# * calculated volume: 17.043 Å³ per atom
# * E_form: 37 kJ per mole of atoms
# * energy: -21.69 eV for the cell shown

No. 3
# NaSm2PaS5, optimized geometry, DFT GGA-PBE
data_NaSm2PaS5
_chemical_formula_sum 'Na2 Sm4 Pa2 S10'
_symmetry_space_group_name_H-M 'I m m m'
_symmetry_Int_Tables_number 71
_symmetry_space_group_name_Hall '-I 2 2'
_cell_length_a 5.0464
_cell_length_b 7.0779
_cell_length_c 13.7834
_cell_angle_alpha 90.00
_cell_angle_beta 90.00
_cell_angle_gamma 90.00
loop_
_atom_site_label
_atom_site_fract_x
_atom_site_fract_y
_atom_site_fract_z
Na1 0.0000 0.0000 0.0000
Sm1 0.0000 0.5000 0.2023
Pa1 0.0000 0.0000 0.5000
S1 0.0000 0.2410 0.3502
S2 0.0000 0.5000 0.0000
# * energy relative to the elements, uncorrected: -1599 meV per atom
# * calculated volume: 27.350 Å³ per atom
# * energy: -110.57 eV for the cell shown